Record 1
Material: Ac2YZn3Pd4
Method: DFT, PBE-GGA
State: relaxed

CIF file:
```
data_Ac2YZn3Pd4
_space_group_name_H-M_alt 'P -4 m 2'
_space_group_IT_number 115
_space_group_name_Hall 'P -4 -2'
_cell_length_a 4.449
_cell_length_b 4.449
_cell_length_c 11.270
_cell_angle_alpha 90.00
_cell_angle_beta 90.00
_cell_angle_gamma 90.00
loop_
_atom_site_label
_atom_site_type_symbol
_atom_site_fract_x
_atom_site_fract_y
_atom_site_fract_z
Ac1 Ac 0.000 0.500 0.222
Y1 Y 0.000 0.000 0.500
Zn1 Zn 0.000 0.500 0.886
Zn2 Zn 0.500 0.500 0.500
Pd1 Pd 0.000 0.000 0.000
Pd2 Pd 0.000 0.500 0.656
Pd3 Pd 0.500 0.500 0.000
```

## Properties
The formation energy comes out at -0.6559 eV/atom. The total magnetic moment is 0.000 μB/cell.


Record 2
Material: Tm2InAs
Method: DFT, PBE-GGA
State: relaxed

CIF file:
```
data_Tm2InAs
_space_group_name_H-M_alt 'R -3 m'
_space_group_IT_number 166
_space_group_name_Hall '-R 3 2"'
_cell_length_a 3.9183
_cell_length_b 3.9183
_cell_length_c 23.7411
_cell_angle_alpha 90.00
_cell_angle_beta 90.00
_cell_angle_gamma 120.00
loop_
_atom_site_label
_atom_site_type_symbol
_atom_site_fract_x
_atom_site_fract_y
_atom_site_fract_z
Tm1 Tm 0.0000 0.0000 0.2370
In1 In 0.0000 0.0000 0.0000
As1 As 0.0000 0.0000 0.5000
```

## Properties
The formation energy comes out at -0.8844 eV/atom. The total magnetic moment is 0.000 μB/cell.


Record 3
Material: Pr2TmScS4
Method: DFT, PBE-GGA
State: relaxed

CIF file:
```
data_Pr2TmScS4
_space_group_name_H-M_alt 'P 1 2/m 1'
_space_group_IT_number 10
_space_group_name_Hall '-P 2y'
_cell_length_a 6.719
_cell_length_b 3.864
_cell_length_c 7.031
_cell_angle_alpha 90.00
_cell_angle_beta 108.48
_cell_angle_gamma 90.00
loop_
_atom_site_label
_atom_site_type_symbol
_atom_site_fract_x
_atom_site_fract_y
_atom_site_fract_z
Pr1 Pr 0.000 0.000 0.000
Pr2 Pr 0.500 0.500 0.000
Tm1 Tm 0.000 0.500 0.500
Sc1 Sc 0.500 0.000 0.500
S1 S 0.245 0.000 0.722
S2 S 0.266 0.500 0.282
```

## Properties
As for the formation energy (no corrections): -1955 meV/atom. The total magnetic moment is 0.000 μB/cell.


- Number 2 is which compound?
  Tm2InAs